Entry 1:
A PBEsol-optimized structure of MnBr2, computed with SCAN.

Summary:
The spin magnetization is 5.00 Bohr magnetons per cell. The value obtained for the formation energy (no corrections) is -1.225 eV per atom.

Lattice parameters (Å, degrees): 3.797 3.797 6.489 90.00 90.00 120.00
Each line ends with the local moment (μB).
Fractional positions:
1 Mn 0.000 0.000 0.000  4.53
2 Br 0.333 0.667 0.231  0.09
3 Br 0.667 0.333 0.769  0.09

***

Entry 2:
A PBEsol-optimized structure of Mn2Br, computed with SCAN.

Summary:
The spin magnetization is 17.07 Bohr magnetons per cell. The value obtained for the formation energy (no corrections) is 0.168 eV per atom.

Lattice parameters (Å, degrees): 5.227 5.476 5.227 61.49 90.00 118.51
Each line ends with the local moment (μB).
Fractional positions:
1 Mn 0.679 0.000 0.821  4.00
2 Mn 0.179 0.000 0.679  4.00
3 Mn 0.321 0.000 0.179  4.00
4 Mn 0.821 0.000 0.321  4.00
5 Br 0.250 0.500 0.750  0.10
6 Br 0.750 0.500 0.250  0.10

***

Entry 3:
A PBEsol-optimized structure of MnBr2, computed with SCAN.

Summary:
The spin magnetization is 20.00 Bohr magnetons per cell. The value obtained for the formation energy (no corrections) is -1.222 eV per atom.

Lattice parameters (Å, degrees): 7.633 7.633 7.633 60.00 60.00 60.00
Each line ends with the local moment (μB).
Fractional positions:
1 Br 0.379 0.379 0.379  0.09
2 Br 0.386 0.871 0.871  0.09
3 Br 0.871 0.871 0.871  0.09
4 Br 0.871 0.871 0.386  0.09
5 Br 0.379 0.864 0.379  0.09
6 Br 0.864 0.379 0.379  0.09
7 Br 0.379 0.379 0.864  0.09
8 Br 0.871 0.386 0.871  0.09
9 Mn 0.125 0.625 0.625  4.53
10 Mn 0.625 0.625 0.125  4.53
11 Mn 0.625 0.625 0.625  4.53
12 Mn 0.625 0.125 0.625  4.53

***

Entry 4:
A PBEsol-optimized structure of MnBr2, computed with SCAN.

Summary:
The spin magnetization is 10.00 Bohr magnetons per cell. The value obtained for the formation energy (no corrections) is -1.171 eV per atom.

Lattice parameters (Å, degrees): 3.849 6.088 6.511 90.00 90.00 90.00
Each line ends with the local moment (μB).
Fractional positions:
1 Br 0.500 0.763 0.840  0.08
2 Br 0.500 0.237 0.160  0.08
3 Br 0.000 0.263 0.660  0.08
4 Br 0.000 0.737 0.340  0.08
5 Mn 0.500 0.500 0.500  4.54
6 Mn 0.000 0.000 0.000  4.54

***

Entry 5:
A PBEsol-optimized structure of MnBr2, computed with SCAN.

Summary:
The spin magnetization is 5.00 Bohr magnetons per cell. The value obtained for the formation energy (no corrections) is -1.225 eV per atom.

Lattice parameters (Å, degrees): 3.797 3.797 6.855 73.92 73.92 60.00
Each line ends with the local moment (μB).
Fractional positions:
1 Br 0.256 0.256 0.231  0.09
2 Br 0.744 0.744 0.769  0.09
3 Mn 0.000 0.000 0.000  4.53

***

Entry 6:
A PBEsol-optimized structure of MnBr2, computed with SCAN.

Summary:
The spin magnetization is 10.00 Bohr magnetons per cell. The value obtained for the formation energy (no corrections) is -1.135 eV per atom.

Lattice parameters (Å, degrees): 3.678 6.988 7.466 83.00 75.74 74.74
Each line ends with the local moment (μB).
Fractional positions:
1 Br 0.190 0.236 0.384  0.08
2 Br 0.810 0.764 0.616  0.08
3 Br 0.590 0.711 0.109  0.09
4 Br 0.410 0.289 0.891  0.09
5 Mn 0.755 0.330 0.159  4.50
6 Mn 0.245 0.670 0.841  4.50

***

Entry 7:
A PBEsol-optimized structure of MnBr3, computed with SCAN.

Summary:
The spin magnetization is 4.35 Bohr magnetons per cell. The value obtained for the formation energy (no corrections) is -0.659 eV per atom.

Lattice parameters (Å, degrees): 3.292 6.266 6.266 59.74 74.77 74.77
Each line ends with the local moment (μB).
Fractional positions:
1 Br 0.674 0.826 0.826  -0.01
2 Br 0.326 0.174 0.174  -0.01
3 Br 0.500 0.500 0.500  -0.01
4 Mn 0.000 0.000 0.000  4.18

***

Entry 8:
A PBEsol-optimized structure of MnBr3, computed with SCAN.

Summary:
The spin magnetization is 4.91 Bohr magnetons per cell. The value obtained for the formation energy (no corrections) is -0.426 eV per atom.

Lattice parameters (Å, degrees): 3.245 3.245 9.661 90.00 90.00 90.00
Each line ends with the local moment (μB).
Fractional positions:
1 Br 0.500 0.500 0.000  0.01
2 Br 0.000 0.000 0.668  0.08
3 Br 0.000 0.000 0.332  0.08
4 Mn 0.500 0.500 0.500  4.47